A plane-wave DFT calculation with GGA-PBE was carried out for crystalline MgTeOsN2 at its relaxed geometry.

Geometry as CIF:
```
data_MgTeOsN2
_chemical_formula_sum 'Mg1 Te1 Os1 N2'
_symmetry_space_group_name_H-M 'P 1'
_symmetry_Int_Tables_number 1
_cell_length_a 3.885
_cell_length_b 3.885
_cell_length_c 6.239
_cell_angle_alpha 90.00
_cell_angle_beta 90.00
_cell_angle_gamma 90.00
loop_
_symmetry_equiv_pos_as_xyz
'x,y,z'
loop_
_atom_site_label
_atom_site_type_symbol
_atom_site_fract_x
_atom_site_fract_y
_atom_site_fract_z
N1 N 0.000 0.500 0.000
Os1 Os 0.500 0.500 0.500
N2 N 0.500 0.000 0.000
Mg1 Mg 0.000 0.000 0.000
Te1 Te 0.000 0.000 0.500
```

ΔE to the lowest computed polymorph, meV/atom: 1591.8
E_form (uncorrected), eV per atom: 1.98

***

A plane-wave DFT calculation with GGA-PBE was carried out for crystalline GaPOsS2 at its relaxed geometry.

Geometry as CIF:
```
data_GaPOsS2
_chemical_formula_sum 'Ga1 P1 Os1 S2'
_symmetry_space_group_name_H-M 'P 1'
_symmetry_Int_Tables_number 1
_cell_length_a 4.819
_cell_length_b 4.819
_cell_length_c 4.477
_cell_angle_alpha 90.00
_cell_angle_beta 90.00
_cell_angle_gamma 90.00
loop_
_symmetry_equiv_pos_as_xyz
'x,y,z'
loop_
_atom_site_label
_atom_site_type_symbol
_atom_site_fract_x
_atom_site_fract_y
_atom_site_fract_z
Ga1 Ga 0.500 0.500 0.500
P1 P 0.000 0.000 0.500
Os1 Os 0.000 0.000 0.000
S1 S 0.000 0.500 0.000
S2 S 0.500 0.000 0.000
```

ΔE to the lowest computed polymorph, meV/atom: 0.0
E_form (uncorrected), eV per atom: 0.50

***

A plane-wave DFT calculation with GGA-PBE was carried out for crystalline Ho4Hg2PS at its relaxed geometry.

Geometry as CIF:
```
data_Ho4Hg2PS
_chemical_formula_sum 'Ho4 Hg2 P1 S1'
_symmetry_space_group_name_H-M 'P 1'
_symmetry_Int_Tables_number 1
_cell_length_a 3.868
_cell_length_b 6.657
_cell_length_c 7.954
_cell_angle_alpha 106.34
_cell_angle_beta 90.00
_cell_angle_gamma 90.00
loop_
_symmetry_equiv_pos_as_xyz
'x,y,z'
loop_
_atom_site_label
_atom_site_type_symbol
_atom_site_fract_x
_atom_site_fract_y
_atom_site_fract_z
Hg1 Hg 0.500 0.000 0.500
Ho1 Ho 0.000 0.265 0.789
Ho2 Ho 0.500 0.239 0.211
Hg2 Hg 0.000 0.500 0.500
Ho3 Ho 0.500 0.761 0.789
P1 P 0.500 0.500 0.000
S1 S 0.000 0.000 0.000
Ho4 Ho 0.000 0.735 0.211
```

E_form (uncorrected), eV per atom: -1.12

***

A plane-wave DFT calculation with GGA-PBE was carried out for crystalline Tl6Se2Br2Cl at its relaxed geometry.

Geometry as CIF:
```
data_Tl6Se2Br2Cl
_chemical_formula_sum 'Tl6 Se2 Br2 Cl1'
_symmetry_space_group_name_H-M 'P 1'
_symmetry_Int_Tables_number 1
_cell_length_a 7.985
_cell_length_b 7.985
_cell_length_c 8.217
_cell_angle_alpha 98.91
_cell_angle_beta 98.91
_cell_angle_gamma 122.10
loop_
_symmetry_equiv_pos_as_xyz
'x,y,z'
loop_
_atom_site_label
_atom_site_type_symbol
_atom_site_fract_x
_atom_site_fract_y
_atom_site_fract_z
Br1 Br 0.162 0.838 0.000
Tl1 Tl 0.065 0.427 0.726
Cl1 Cl 0.000 0.000 0.500
Tl2 Tl 0.935 0.573 0.274
Tl3 Tl 0.573 0.935 0.274
Br2 Br 0.838 0.162 0.000
Se1 Se 0.330 0.670 0.500
Tl4 Tl 0.745 0.745 0.719
Tl5 Tl 0.427 0.065 0.726
Tl6 Tl 0.255 0.255 0.281
Se2 Se 0.670 0.330 0.500
```

E_form (uncorrected), eV per atom: -0.59

***

A plane-wave DFT calculation with GGA-PBE was carried out for crystalline SiBPN4 at its relaxed geometry.

Geometry as CIF:
```
data_SiBPN4
_chemical_formula_sum 'Si2 B2 P2 N8'
_symmetry_space_group_name_H-M 'P 1'
_symmetry_Int_Tables_number 1
_cell_length_a 4.648
_cell_length_b 5.109
_cell_length_c 5.788
_cell_angle_alpha 66.72
_cell_angle_beta 86.33
_cell_angle_gamma 88.91
loop_
_symmetry_equiv_pos_as_xyz
'x,y,z'
loop_
_atom_site_label
_atom_site_type_symbol
_atom_site_fract_x
_atom_site_fract_y
_atom_site_fract_z
N1 N 0.611 0.475 0.566
P1 P 0.961 0.409 0.608
B1 B 0.007 0.421 0.139
P2 P 0.655 0.082 0.190
N2 N 0.651 0.442 0.119
N3 N 0.008 0.098 0.159
B2 B 0.467 0.365 0.392
N4 N 0.151 0.668 0.888
N5 N 0.533 0.973 0.988
N6 N 0.967 0.686 0.697
Si1 Si 0.175 0.008 0.932
N7 N 0.514 0.026 0.475
N8 N 0.149 0.456 0.349
Si2 Si 0.575 0.705 0.757
```

ΔE to the lowest computed polymorph, meV/atom: 503.8
E_form (uncorrected), eV per atom: -0.33

***

A plane-wave DFT calculation with GGA-PBE was carried out for crystalline Zn5PtAu4 at its relaxed geometry.

Geometry as CIF:
```
data_Zn5PtAu4
_chemical_formula_sum 'Zn5 Pt1 Au4'
_symmetry_space_group_name_H-M 'P 1'
_symmetry_Int_Tables_number 1
_cell_length_a 3.180
_cell_length_b 3.180
_cell_length_c 15.740
_cell_angle_alpha 90.00
_cell_angle_beta 90.00
_cell_angle_gamma 90.00
loop_
_symmetry_equiv_pos_as_xyz
'x,y,z'
loop_
_atom_site_label
_atom_site_type_symbol
_atom_site_fract_x
_atom_site_fract_y
_atom_site_fract_z
Au1 Au 0.000 0.000 0.601
Au2 Au 0.000 0.000 0.399
Au3 Au 0.000 0.000 0.195
Pt1 Pt 0.000 0.000 0.000
Zn1 Zn 0.500 0.500 0.703
Zn2 Zn 0.500 0.500 0.908
Zn3 Zn 0.500 0.500 0.297
Zn4 Zn 0.500 0.500 0.092
Au4 Au 0.000 0.000 0.805
Zn5 Zn 0.500 0.500 0.500
```

Formation energy, meV/atom: -268

***

A plane-wave DFT calculation with GGA-PBE was carried out for crystalline RbAgBr3 at its relaxed geometry.

Geometry as CIF:
```
data_RbAgBr3
_chemical_formula_sum 'Rb4 Ag4 Br12'
_symmetry_space_group_name_H-M 'P 1'
_symmetry_Int_Tables_number 1
_cell_length_a 17.328
_cell_length_b 9.899
_cell_length_c 9.899
_cell_angle_alpha 82.98
_cell_angle_beta 127.01
_cell_angle_gamma 52.99
loop_
_symmetry_equiv_pos_as_xyz
'x,y,z'
loop_
_atom_site_label
_atom_site_type_symbol
_atom_site_fract_x
_atom_site_fract_y
_atom_site_fract_z
Br1 Br 0.467 0.401 0.162
Br2 Br 0.075 0.831 0.290
Ag1 Ag 0.750 0.362 0.862
Rb1 Rb 0.186 0.974 0.668
Ag2 Ag 0.750 0.162 0.662
Br3 Br 0.701 0.858 0.057
Br4 Br 0.925 0.169 0.710
Br5 Br 0.575 0.210 0.669
Br6 Br 0.201 0.443 0.642
Rb2 Rb 0.314 0.168 0.474
Ag3 Ag 0.250 0.838 0.338
Ag4 Ag 0.250 0.638 0.138
Rb3 Rb 0.686 0.832 0.526
Br7 Br 0.425 0.790 0.331
Br8 Br 0.533 0.599 0.838
Rb4 Rb 0.814 0.026 0.332
Br9 Br 0.033 0.662 0.901
Br10 Br 0.799 0.557 0.358
Br11 Br 0.299 0.142 0.943
Br12 Br 0.967 0.338 0.099
```

E_form (uncorrected), eV per atom: -0.82

***

Let's list total energy in order: -0.334; -0.374; -0.344; -0.219; -0.557; -0.207; -0.190 Ry/atom.